11
Lattice="5.476 0.000 0.000 -2.738 5.967 -0.270 0.000 -2.548 7.994" Properties=species:S:1:pos:R:3 comment="GGA-PBE LiCe5Ir5, relaxed" formation_energy_ev_per_atom=-0.480 sg=C2/m pbc="T T T"
Ir 2.738 2.523 5.282
Ir 0.000 -0.522 6.507
Ir 0.000 0.895 2.441
Ir 2.738 0.000 0.000
Ir 2.738 3.940 1.217
Ce 0.000 2.130 5.201
Ce 0.000 -1.274 3.997
Ce 2.738 1.288 2.522
Ce 2.738 -0.082 6.681
Ce 0.000 3.500 1.042
Li 0.000 0.000 0.000